No. 1
A geometry-optimized Er4PdSe3 structure, computed with PBE.

a = 8.264 Å, b = 11.541 Å, c = 3.974 Å
α = 90.00°, β = 90.00°, γ = 90.00°
Positions (direct):
Er: 0.000 0.247 0.000
Er: 0.000 0.753 0.000
Er: 0.236 0.000 0.500
Er: 0.264 0.500 0.500
Er: 0.500 0.253 0.000
Er: 0.500 0.747 0.000
Er: 0.736 0.500 0.500
Er: 0.764 0.000 0.500
Pd: 0.000 0.000 0.000
Pd: 0.500 0.500 0.000
Se: 0.000 0.500 0.000
Se: 0.250 0.250 0.500
Se: 0.250 0.750 0.500
Se: 0.500 0.000 0.000
Se: 0.750 0.250 0.500
Se: 0.750 0.750 0.500

Results
**Crystal system**: orthorhombic
**Raw formation energy**: -1.4861 eV/atom
**Calculated total energy**: -5.72 eV/atom
**Space group**: Cmmm, No. 65



No. 2
A geometry-optimized Er2Pd4Se5 structure, computed with PBE.

a = 16.654 Å, b = 16.654 Å, c = 16.654 Å
α = 14.31°, β = 14.31°, γ = 14.31°
Positions (direct):
Er: 0.130 0.130 0.130
Er: 0.870 0.870 0.870
Pd: 0.317 0.317 0.317
Pd: 0.421 0.421 0.421
Pd: 0.579 0.579 0.579
Pd: 0.683 0.683 0.683
Se: 0.233 0.233 0.233
Se: 0.369 0.369 0.369
Se: 0.500 0.500 0.500
Se: 0.631 0.631 0.631
Se: 0.767 0.767 0.767

Results
**Crystal system**: trigonal
**Raw formation energy**: -0.8505 eV/atom
**Calculated total energy**: -5.15 eV/atom
**Space group**: R-3m, No. 166



No. 3
A geometry-optimized Er2PdSe structure, computed with PBE.

a = 3.940 Å, b = 3.940 Å, c = 21.373 Å
α = 90.00°, β = 90.00°, γ = 120.00°
Positions (direct):
Er: 0.000 0.000 0.245
Er: 0.000 0.000 0.755
Er: 0.333 0.667 0.421
Er: 0.333 0.667 0.912
Er: 0.667 0.333 0.088
Er: 0.667 0.333 0.579
Pd: 0.000 0.000 0.500
Pd: 0.333 0.667 0.167
Pd: 0.667 0.333 0.833
Se: 0.000 0.000 0.000
Se: 0.333 0.667 0.667
Se: 0.667 0.333 0.333

Results
**Crystal system**: trigonal
**Offset from the most stable computed form**: 0 meV/atom
**Raw formation energy**: -1.2524 eV/atom
**Calculated total energy**: -5.70 eV/atom
**Space group**: R-3m, No. 166



No. 4
A geometry-optimized Er2PdSe structure, computed with PBE.

a = 3.975 Å, b = 3.975 Å, c = 21.375 Å
α = 90.00°, β = 90.00°, γ = 120.00°
Positions (direct):
Er: 0.000 0.000 0.000
Er: 0.000 0.000 0.183
Er: 0.333 0.667 0.667
Er: 0.333 0.667 0.849
Er: 0.667 0.333 0.333
Er: 0.667 0.333 0.516
Pd: 0.000 0.000 0.591
Pd: 0.333 0.667 0.258
Pd: 0.667 0.333 0.925
Se: 0.000 0.000 0.424
Se: 0.333 0.667 0.090
Se: 0.667 0.333 0.757

Results
**Crystal system**: trigonal
**Offset from the most stable computed form**: 35 meV/atom
**Raw formation energy**: -1.2172 eV/atom
**Calculated total energy**: -5.67 eV/atom
**Space group**: R3m, No. 160



No. 5
A geometry-optimized ErPdSe2 structure, computed with PBE.

a = 3.789 Å, b = 3.789 Å, c = 24.736 Å
α = 90.00°, β = 90.00°, γ = 120.00°
Positions (direct):
Er: 0.000 0.000 0.000
Er: 0.333 0.667 0.667
Er: 0.667 0.333 0.333
Pd: 0.000 0.000 0.500
Pd: 0.333 0.667 0.167
Pd: 0.667 0.333 0.833
Se: 0.000 0.000 0.112
Se: 0.000 0.000 0.888
Se: 0.333 0.667 0.555
Se: 0.333 0.667 0.778
Se: 0.667 0.333 0.222
Se: 0.667 0.333 0.445

Results
**Crystal system**: trigonal
**Offset from the most stable computed form**: 591 meV/atom
**Raw formation energy**: -0.3700 eV/atom
**Calculated total energy**: -4.55 eV/atom
**Space group**: R-3m, No. 166



No. 6
A geometry-optimized Er4TePdSe2 structure, computed with PBE.

a = 7.186 Å, b = 4.033 Å, c = 7.283 Å
α = 90.00°, β = 108.42°, γ = 90.00°
Positions (direct):
Er: 0.227 0.000 0.241
Er: 0.230 0.500 0.737
Er: 0.770 0.500 0.263
Er: 0.773 0.000 0.759
Te: 0.500 0.000 0.000
Pd: 0.000 0.500 0.000
Se: 0.000 0.000 0.500
Se: 0.500 0.500 0.500

Results
**Crystal system**: monoclinic
**Raw formation energy**: -1.3423 eV/atom
**Calculated total energy**: -5.54 eV/atom
**Space group**: P2/m, No. 10



No. 7
A geometry-optimized Er3Si2Pd structure, computed with PBE.

a = 11.352 Å, b = 4.215 Å, c = 11.159 Å
α = 90.00°, β = 90.00°, γ = 90.00°
Positions (direct):
Er: 0.054 0.250 0.125
Er: 0.123 0.750 0.562
Er: 0.213 0.250 0.807
Er: 0.287 0.750 0.307
Er: 0.377 0.250 0.062
Er: 0.446 0.750 0.625
Er: 0.554 0.250 0.375
Er: 0.623 0.750 0.938
Er: 0.713 0.250 0.693
Er: 0.787 0.750 0.193
Er: 0.877 0.250 0.438
Er: 0.946 0.750 0.875
Si: 0.015 0.750 0.312
Si: 0.188 0.750 0.002
Si: 0.312 0.250 0.502
Si: 0.485 0.250 0.812
Si: 0.515 0.750 0.188
Si: 0.688 0.750 0.498
Si: 0.812 0.250 0.998
Si: 0.985 0.250 0.688
Pd: 0.129 0.250 0.370
Pd: 0.371 0.750 0.870
Pd: 0.629 0.250 0.130
Pd: 0.871 0.750 0.630

Results
**Crystal system**: orthorhombic
**Raw formation energy**: -0.8199 eV/atom
**Calculated total energy**: -5.77 eV/atom
**Space group**: Pnma, No. 62



No. 8
A geometry-optimized ErSi4Pd12 structure, computed with PBE.

a = 7.239 Å, b = 7.239 Å, c = 7.239 Å
α = 109.47°, β = 109.47°, γ = 109.47°
Positions (direct):
Er: 0.000 0.000 0.000
Si: 0.000 0.000 0.500
Si: 0.000 0.500 0.000
Si: 0.500 0.000 0.000
Si: 0.500 0.500 0.500
Pd: 0.164 0.502 0.337
Pd: 0.164 0.827 0.663
Pd: 0.173 0.337 0.836
Pd: 0.337 0.164 0.502
Pd: 0.337 0.836 0.173
Pd: 0.498 0.663 0.836
Pd: 0.502 0.337 0.164
Pd: 0.663 0.164 0.827
Pd: 0.663 0.836 0.498
Pd: 0.827 0.663 0.164
Pd: 0.836 0.173 0.337
Pd: 0.836 0.498 0.663

Results
**Crystal system**: cubic
**Raw formation energy**: -0.4603 eV/atom
**Calculated total energy**: -5.67 eV/atom
**Space group**: Im-3, No. 204



No. 9
A geometry-optimized Er2Si3Pd9 structure, computed with PBE.

a = 7.635 Å, b = 7.635 Å, c = 9.961 Å
α = 112.30°, β = 112.30°, γ = 59.94°
Positions (direct):
Er: 0.085 0.256 0.250
Er: 0.256 0.085 0.750
Er: 0.744 0.915 0.250
Er: 0.915 0.744 0.750
Si: 0.000 0.500 0.000
Si: 0.154 0.674 0.500
Si: 0.326 0.846 0.000
Si: 0.500 0.000 0.500
Si: 0.674 0.154 0.000
Si: 0.846 0.326 0.500
Pd: 0.013 0.871 0.078
Pd: 0.129 0.987 0.422
Pd: 0.181 0.360 0.574
Pd: 0.202 0.579 0.253
Pd: 0.306 0.487 0.950
Pd: 0.360 0.181 0.074
Pd: 0.362 0.638 0.750
Pd: 0.421 0.798 0.247
Pd: 0.487 0.306 0.450
Pd: 0.513 0.694 0.550
Pd: 0.579 0.202 0.753
Pd: 0.638 0.362 0.250
Pd: 0.640 0.819 0.926
Pd: 0.694 0.513 0.050
Pd: 0.798 0.421 0.747
Pd: 0.819 0.640 0.426
Pd: 0.871 0.013 0.578
Pd: 0.987 0.129 0.922

Results
**Crystal system**: monoclinic
**Raw formation energy**: -0.8394 eV/atom
**Calculated total energy**: -5.99 eV/atom
**Space group**: C2/c, No. 15



No. 10
A geometry-optimized Er12SiPd6 structure, computed with PBE.

a = 8.246 Å, b = 8.246 Å, c = 8.246 Å
α = 100.88°, β = 100.88°, γ = 100.88°
Positions (direct):
Er: 0.056 0.675 0.919
Er: 0.081 0.944 0.325
Er: 0.175 0.413 0.572
Er: 0.325 0.081 0.944
Er: 0.413 0.572 0.175
Er: 0.428 0.825 0.587
Er: 0.572 0.175 0.413
Er: 0.587 0.428 0.825
Er: 0.675 0.919 0.056
Er: 0.825 0.587 0.428
Er: 0.919 0.056 0.675
Er: 0.944 0.325 0.081
Si: 0.000 0.000 0.000
Pd: 0.138 0.618 0.319
Pd: 0.319 0.138 0.618
Pd: 0.382 0.681 0.862
Pd: 0.618 0.319 0.138
Pd: 0.681 0.862 0.382
Pd: 0.862 0.382 0.681

Results
**Crystal system**: trigonal
**Raw formation energy**: -0.5209 eV/atom
**Calculated total energy**: -5.33 eV/atom
**Space group**: R-3, No. 148



- Which of these has the highest raw formation energy?
  ErPdSe2



- Number 10 is which compound?
  Er12SiPd6



- The highest calculated total energy belongs to which entry?
  ErPdSe2